Entry 1:
{"formula": "RbFeRhO6", "functional": "GGA+U", "state": "optimized geometry", "cell": [[2.580, -4.467, 0.000], [2.580, 4.467, 0.000], [-0.008, 0.000, 6.334]], "species": ["Rb", "Fe", "Rh", "O", "O", "O", "O", "O", "O"], "fractional_positions": [[0.000, 0.000, 0.000], [0.333, 0.667, 0.500], [0.667, 0.333, 0.500], [0.007, 0.616, 0.331], [0.008, 0.391, 0.669], [0.383, 0.390, 0.332], [0.384, 0.993, 0.669], [0.609, 0.992, 0.331], [0.610, 0.617, 0.668]], "total_magnetization_mub_per_atom": 0.026, "energy_ev_per_atom": -5.5959}


Entry 2:
{"formula": "Rb2FeRuO6", "functional": "GGA+U", "state": "optimized geometry", "cell": [[6.234, 0.000, 0.000], [-3.117, 5.399, 0.000], [0.000, 0.000, 5.116]], "species": ["Rb", "Rb", "Fe", "Ru", "O", "O", "O", "O", "O", "O"], "fractional_positions": [[0.333, 0.667, 0.265], [0.667, 0.333, 0.735], [0.000, 0.000, 0.000], [0.000, 0.000, 0.500], [0.140, 0.281, 0.732], [0.140, 0.860, 0.732], [0.281, 0.140, 0.268], [0.719, 0.860, 0.732], [0.860, 0.140, 0.268], [0.860, 0.719, 0.268]], "total_magnetization_mub_per_atom": 0.433, "energy_ev_per_atom": -5.7516}


Entry 3:
{"formula": "RbFeSb2O", "functional": "GGA+U", "state": "optimized geometry", "cell": [[6.262, 0.000, 0.000], [0.000, 6.262, 0.000], [0.000, 0.000, 5.434]], "species": ["Rb", "Fe", "Sb", "Sb", "O"], "fractional_positions": [[0.000, 0.000, 0.000], [0.000, 0.000, 0.500], [0.000, 0.500, 0.000], [0.500, 0.000, 0.000], [0.500, 0.500, 0.500]], "total_magnetization_mub_per_atom": 1.257, "energy_ev_per_atom": -1.8705}


Entry 4:
{"formula": "RbScFeO3", "functional": "GGA+U", "state": "optimized geometry", "cell": [[1.689, -6.625, 0.000], [1.689, 6.625, 0.000], [0.000, 0.000, 8.770]], "species": ["Rb", "Rb", "Sc", "Sc", "Fe", "Fe", "O", "O", "O", "O", "O", "O"], "fractional_positions": [[0.215, 0.785, 0.750], [0.785, 0.215, 0.250], [0.500, 0.500, 0.000], [0.500, 0.500, 0.500], [0.050, 0.950, 0.250], [0.950, 0.050, 0.750], [0.101, 0.899, 0.039], [0.101, 0.899, 0.461], [0.464, 0.536, 0.250], [0.536, 0.464, 0.750], [0.899, 0.101, 0.539], [0.899, 0.101, 0.961]], "total_magnetization_mub_per_atom": 0.667, "energy_ev_per_atom": -6.7510}


Entry 5:
{"formula": "Rb2ScFeO4", "functional": "GGA+U", "state": "optimized geometry", "cell": [[0.000, 6.262, 10.626], [2.700, 0.000, 10.626], [2.700, 6.262, 0.000]], "species": ["Rb", "Rb", "Rb", "Rb", "Sc", "Sc", "Fe", "Fe", "O", "O", "O", "O", "O", "O", "O", "O"], "fractional_positions": [[0.053, 0.053, 0.697], [0.303, 0.303, 0.947], [0.697, 0.697, 0.053], [0.947, 0.947, 0.303], [0.125, 0.125, 0.125], [0.875, 0.875, 0.875], [0.375, 0.375, 0.375], [0.625, 0.625, 0.625], [0.005, 0.658, 0.576], [0.262, 0.576, 0.658], [0.342, 0.995, 0.738], [0.424, 0.738, 0.995], [0.576, 0.262, 0.005], [0.658, 0.005, 0.262], [0.738, 0.424, 0.342], [0.995, 0.342, 0.424]], "total_magnetization_mub_per_atom": 0.625, "energy_ev_per_atom": -6.1250}


Entry 6:
{"formula": "RbFe2SeO", "functional": "GGA+U", "state": "optimized geometry", "cell": [[4.152, 0.000, 0.000], [0.000, 4.152, 0.000], [0.000, 0.000, 7.046]], "species": ["Rb", "Fe", "Fe", "Se", "O"], "fractional_positions": [[0.000, 0.000, 0.000], [0.000, 0.500, 0.500], [0.500, 0.000, 0.500], [0.500, 0.500, 0.000], [0.500, 0.500, 0.500]], "total_magnetization_mub_per_atom": 1.268, "energy_ev_per_atom": -3.8909}


Entry 7:
{"formula": "Rb2FeSeO4", "functional": "GGA+U", "state": "optimized geometry", "cell": [[0.000, 6.577, 9.824], [2.844, 0.000, 9.824], [2.844, 6.577, 0.000]], "species": ["Rb", "Rb", "Rb", "Rb", "Fe", "Fe", "Se", "Se", "O", "O", "O", "O", "O", "O", "O", "O"], "fractional_positions": [[0.054, 0.054, 0.696], [0.304, 0.304, 0.946], [0.696, 0.696, 0.054], [0.946, 0.946, 0.304], [0.125, 0.125, 0.125], [0.875, 0.875, 0.875], [0.375, 0.375, 0.375], [0.625, 0.625, 0.625], [0.009, 0.679, 0.553], [0.259, 0.553, 0.679], [0.321, 0.991, 0.741], [0.447, 0.741, 0.991], [0.553, 0.259, 0.009], [0.679, 0.009, 0.259], [0.741, 0.447, 0.321], [0.991, 0.321, 0.447]], "total_magnetization_mub_per_atom": 0.496, "energy_ev_per_atom": -4.8717}


Entry 8:
{"formula": "Rb2FeSiO4", "functional": "GGA+U", "state": "optimized geometry", "cell": [[0.000, 6.017, 10.357], [2.572, 0.000, 10.357], [2.572, 6.017, 0.000]], "species": ["Rb", "Rb", "Rb", "Rb", "Fe", "Fe", "Si", "Si", "O", "O", "O", "O", "O", "O", "O", "O"], "fractional_positions": [[0.049, 0.049, 0.701], [0.299, 0.299, 0.951], [0.701, 0.701, 0.049], [0.951, 0.951, 0.299], [0.125, 0.125, 0.125], [0.875, 0.875, 0.875], [0.375, 0.375, 0.375], [0.625, 0.625, 0.625], [0.050, 0.616, 0.537], [0.297, 0.537, 0.616], [0.384, 0.950, 0.703], [0.463, 0.703, 0.950], [0.537, 0.297, 0.050], [0.616, 0.050, 0.297], [0.703, 0.463, 0.384], [0.950, 0.384, 0.463]], "total_magnetization_mub_per_atom": 0.500, "energy_ev_per_atom": -6.0436}


Entry 9:
{"formula": "Rb2SmFeO4", "functional": "GGA+U", "state": "optimized geometry", "cell": [[6.109, 0.000, 0.000], [0.000, 6.109, 0.000], [0.000, 0.000, 8.840]], "species": ["Rb", "Rb", "Rb", "Rb", "Sm", "Sm", "Fe", "Fe", "O", "O", "O", "O", "O", "O", "O", "O"], "fractional_positions": [[0.000, 0.000, 0.000], [0.000, 0.500, 0.250], [0.500, 0.000, 0.750], [0.500, 0.500, 0.500], [0.000, 0.000, 0.500], [0.500, 0.500, 0.000], [0.000, 0.500, 0.750], [0.500, 0.000, 0.250], [0.137, 0.728, 0.634], [0.228, 0.363, 0.866], [0.272, 0.137, 0.366], [0.363, 0.772, 0.134], [0.637, 0.228, 0.134], [0.728, 0.863, 0.366], [0.772, 0.637, 0.866], [0.863, 0.272, 0.634]], "total_magnetization_mub_per_atom": 0.625, "energy_ev_per_atom": -6.0338}


Entry 10:
{"formula": "Rb4Sm3FeO8", "functional": "GGA+U", "state": "optimized geometry", "cell": [[3.512, 2.028, 6.555], [-3.512, 2.028, 6.555], [0.000, -4.056, 6.555]], "species": ["Rb", "Rb", "Rb", "Rb", "Sm", "Sm", "Sm", "Fe", "O", "O", "O", "O", "O", "O", "O", "O"], "fractional_positions": [[0.000, 0.000, 0.000], [0.000, 0.500, 0.500], [0.500, 0.000, 0.500], [0.500, 0.500, 0.000], [0.000, 0.000, 0.500], [0.000, 0.500, 0.000], [0.500, 0.000, 0.000], [0.500, 0.500, 0.500], [0.227, 0.227, 0.227], [0.246, 0.714, 0.714], [0.286, 0.286, 0.754], [0.286, 0.754, 0.286], [0.714, 0.246, 0.714], [0.714, 0.714, 0.246], [0.754, 0.286, 0.286], [0.773, 0.773, 0.773]], "total_magnetization_mub_per_atom": 0.325, "energy_ev_per_atom": -6.1937}


Entry 11:
{"formula": "Rb3Sm2FeO6", "functional": "GGA+U", "state": "optimized geometry", "cell": [[3.006, -5.202, 0.000], [3.006, 5.202, 0.000], [-1.995, 0.000, 6.536]], "species": ["Rb", "Rb", "Rb", "Sm", "Sm", "Fe", "O", "O", "O", "O", "O", "O"], "fractional_positions": [[0.000, 0.000, 0.000], [0.337, 0.663, 0.000], [0.663, 0.337, 0.000], [0.167, 0.833, 0.500], [0.833, 0.167, 0.500], [0.500, 0.500, 0.500], [0.136, 0.442, 0.326], [0.250, 0.250, 0.675], [0.442, 0.136, 0.326], [0.558, 0.864, 0.674], [0.750, 0.750, 0.325], [0.864, 0.558, 0.674]], "total_magnetization_mub_per_atom": 0.406, "energy_ev_per_atom": -6.1167}


Entry 12:
{"formula": "Rb2FeSnO5", "functional": "GGA+U", "state": "optimized geometry", "cell": [[1.640, -7.770, 0.000], [1.640, 7.770, 0.000], [0.000, 0.000, 13.010]], "species": ["Rb", "Rb", "Rb", "Rb", "Fe", "Fe", "Sn", "Sn", "O", "O", "O", "O", "O", "O", "O", "O", "O", "O"], "fractional_positions": [[0.086, 0.914, 0.500], [0.148, 0.852, 0.154], [0.852, 0.148, 0.654], [0.914, 0.086, 0.000], [0.440, 0.560, 0.273], [0.560, 0.440, 0.773], [0.209, 0.791, 0.873], [0.791, 0.209, 0.373], [0.062, 0.938, 0.853], [0.292, 0.708, 0.474], [0.314, 0.686, 0.264], [0.338, 0.662, 0.844], [0.494, 0.506, 0.153], [0.506, 0.494, 0.653], [0.662, 0.338, 0.344], [0.686, 0.314, 0.764], [0.708, 0.292, 0.974], [0.938, 0.062, 0.353]], "total_magnetization_mub_per_atom": 0.565, "energy_ev_per_atom": -5.3623}